(1)
VASP calculation (GGA-PBE) on crystalline Li5CePb6 at its relaxed geometry.

Lattice parameters (Å, degrees): 9.057 9.057 9.057 147.38 132.86 58.51
Atoms (fractional coordinates):
Li (0.000, 0.000, 0.000)
Li (0.170, 0.670, 0.500)
Li (0.333, 0.333, 0.000)
Li (0.667, 0.667, 0.000)
Li (0.830, 0.330, 0.500)
Ce (0.500, 0.000, 0.500)
Pb (0.063, 0.826, 0.237)
Pb (0.222, 0.500, 0.722)
Pb (0.411, 0.174, 0.237)
Pb (0.589, 0.826, 0.763)
Pb (0.778, 0.500, 0.278)
Pb (0.937, 0.174, 0.763)

## Properties
Space-group type   Immm (71)


(2)
VASP calculation (GGA-PBE) on crystalline MnGaC at its relaxed geometry.

Lattice parameters (Å, degrees): 6.106 6.106 4.218 90.00 90.00 152.88
Atoms (fractional coordinates):
Mn (0.056, 0.944, 0.750)
Mn (0.944, 0.056, 0.250)
Ga (0.367, 0.633, 0.750)
Ga (0.633, 0.367, 0.250)
C (0.198, 0.802, 0.750)
C (0.802, 0.198, 0.250)

## Properties
Space-group type   Cmcm (63)


E_form across the listed records, respectively: -0.289 0.767 eV/atom.
Size of the total moment across the listed records, respectively: 0.910 1.035 μB/f.u..
Energy across the listed records, respectively: -3.4355 -6.3736 eV per atom.